Below is a relaxed HoErZn2 crystal, with properties calculated at the PBE level.

Offset from the most stable computed form, eV/atom: 0.0000
SG: Fm-3m, No. 225
N(E_F), states/eV per atom: 0.8566

a b c (Å): 5.015 5.015 5.015
angles (deg): 60.00 60.00 60.00
Fractional coordinates of all 4 atoms:
Ho (0.000, 0.000, 0.000)
Er (0.500, 0.500, 0.500)
Zn (0.250, 0.250, 0.250)
Zn (0.750, 0.750, 0.750)